[1]
Crystalline K2AlBiSe4 at its relaxed geometry, computed with GGA-PBE.

Unit cell a=8.2083 b=8.2083 c=7.1509 alpha=90.00 beta=90.00 gamma=90.00
Space group I-42m (No. 121)
One atom of each set of equivalent atoms:
K 0.0000 0.5000 0.0000 (multiplicity 4)
Al 0.0000 0.0000 0.0000 (multiplicity 2)
Bi 0.0000 0.0000 0.5000 (multiplicity 2)
Se 0.1675 0.1675 0.7931 (multiplicity 8)

total moment = 0.00 μB per atom
energy relative to the elements, uncorrected = -86.3 kJ per mole of atoms
V = 30.11 Å³/atom


[2]
Crystalline KTaAl2Bi at its relaxed geometry, computed with GGA-PBE.

Unit cell a=5.7170 b=5.7170 c=5.4640 alpha=90.00 beta=90.00 gamma=90.00
Space group P4/mmm (No. 123)
One atom of each set of equivalent atoms:
K 0.0000 0.0000 0.0000 (multiplicity 1)
Ta 0.5000 0.5000 0.0000 (multiplicity 1)
Al 0.0000 0.5000 0.5000 (multiplicity 2)
Bi 0.5000 0.5000 0.5000 (multiplicity 1)

total moment = 0.51 μB per atom
DFT formation energy = 1351 meV per atom
V = 35.72 Å³/atom


[3]
Crystalline K3AlBi3Te8 at its relaxed geometry, computed with GGA-PBE.

Unit cell a=15.3017 b=8.7884 c=10.0685 alpha=90.00 beta=120.55 gamma=90.00
Space group C2/m (No. 12)
One atom of each set of equivalent atoms:
K 0.0000 0.0000 0.0000 (multiplicity 2)
K 0.2500 0.2500 0.0000 (multiplicity 4)
Al 0.0000 0.0000 0.5000 (multiplicity 2)
Bi 0.0000 0.5000 0.5000 (multiplicity 2)
Bi 0.2500 0.2500 0.5000 (multiplicity 4)
Te 0.0102 0.2241 0.3062 (multiplicity 8)
Te 0.2140 0.0000 0.6939 (multiplicity 4)
Te 0.2375 0.5000 0.7129 (multiplicity 4)

total moment = 0.00 μB per atom
energy relative to the elements, uncorrected = -49.4 kJ per mole of atoms
V = 38.87 Å³/atom


Copy entry 3 word for word.
Crystalline K3AlBi3Te8 at its relaxed geometry, computed with GGA-PBE.

Unit cell a=15.3017 b=8.7884 c=10.0685 alpha=90.00 beta=120.55 gamma=90.00
Space group C2/m (No. 12)
One atom of each set of equivalent atoms:
K 0.0000 0.0000 0.0000 (multiplicity 2)
K 0.2500 0.2500 0.0000 (multiplicity 4)
Al 0.0000 0.0000 0.5000 (multiplicity 2)
Bi 0.0000 0.5000 0.5000 (multiplicity 2)
Bi 0.2500 0.2500 0.5000 (multiplicity 4)
Te 0.0102 0.2241 0.3062 (multiplicity 8)
Te 0.2140 0.0000 0.6939 (multiplicity 4)
Te 0.2375 0.5000 0.7129 (multiplicity 4)

total moment = 0.00 μB per atom
energy relative to the elements, uncorrected = -49.4 kJ per mole of atoms
V = 38.87 Å³/atom